Entry 1:
A plane-wave DFT calculation with PBE was carried out for a geometry-optimized RbTlSiSe3 structure.

```
RbTlSiSe3
1.0
6.205 -4.390 0.000
6.205 4.390 0.000
-4.251 0.000 7.479
Rb Tl Si Se
2 2 2 6
Cartesian
1.577 0.000 1.451 Rb
6.582 0.000 6.028 Rb
4.079 2.906 3.739 Tl
4.079 -2.906 3.739 Tl
2.216 0.000 6.297 Si
5.942 0.000 1.182 Si
4.632 1.900 1.261 Se
0.496 0.000 4.822 Se
3.527 1.900 6.217 Se
4.632 -1.900 1.261 Se
7.663 0.000 2.657 Se
3.527 -1.900 6.217 Se
```

Properties
Formation energy (no corrections) = -0.5606 eV/atom

=====

Entry 2:
A plane-wave DFT calculation with PBE was carried out for a geometry-optimized ReHS structure.

```
ReHS
1.0
3.011 0.000 0.000
-0.582 4.837 0.000
-0.152 -1.986 6.216
Re H S
2 2 2
Cartesian
0.352 0.271 2.902 Re
1.924 2.580 3.314 Re
-0.385 3.628 1.905 H
2.662 -0.777 4.311 H
0.410 1.671 4.823 S
1.867 1.180 1.393 S
```

Properties
Raw total energy = -6.797 eV per atom

=====

Entry 3:
A plane-wave DFT calculation with PBE was carried out for a geometry-optimized Pm6AsRh2I3 structure.

```
Pm6AsRh2I3
1.0
3.673 -6.358 0.000
3.673 6.358 0.000
-2.429 0.000 7.945
Pm As Rh I
6 1 2 3
Cartesian
-0.039 2.214 6.450 Pm
1.116 0.000 1.492 Pm
-0.039 -2.214 6.450 Pm
4.956 2.214 1.495 Pm
3.801 0.000 6.453 Pm
4.956 -2.214 1.495 Pm
3.673 0.000 0.000 As
3.673 4.235 0.000 Rh
3.673 -4.235 0.000 Rh
-1.214 0.000 3.973 I
2.458 2.072 3.973 I
2.458 -2.072 3.973 I
```

Properties
Formation energy (no corrections) = -1.0194 eV/atom

=====

Entry 4:
A plane-wave DFT calculation with PBE was carried out for a geometry-optimized Tb3Th2Hg3 structure.

```
Tb3Th2Hg3
1.0
3.656 0.000 0.000
0.000 5.439 0.000
0.000 0.000 22.739
Tb Th Hg
6 4 6
Cartesian
0.000 0.000 0.000 Tb
0.000 2.720 2.738 Tb
0.000 2.720 20.001 Tb
1.828 0.000 8.631 Tb
1.828 0.000 14.108 Tb
1.828 2.720 11.370 Tb
0.000 0.000 5.316 Th
0.000 0.000 17.424 Th
1.828 2.720 6.054 Th
1.828 2.720 16.685 Th
0.000 0.000 11.370 Hg
0.000 2.720 8.821 Hg
0.000 2.720 13.919 Hg
1.828 0.000 2.549 Hg
1.828 0.000 20.190 Hg
1.828 2.720 0.000 Hg
```

Properties
Formation energy from the elements = -286 meV/atom

=====

Entry 5:
A plane-wave DFT calculation with PBE was carried out for a geometry-optimized CaY4SnS8 structure.

```
CaY4SnS8
1.0
4.067 2.348 6.734
-4.067 2.348 6.734
0.000 -4.696 6.734
Ca Y Sn S
1 4 1 8
Cartesian
0.000 0.000 0.000 Ca
-2.061 -1.190 9.234 Y
0.000 0.000 4.988 Y
2.061 -1.190 9.234 Y
0.000 2.380 9.234 Y
0.000 0.000 12.712 Sn
0.000 -2.267 10.760 S
-1.963 1.133 10.760 S
0.000 0.000 7.701 S
-1.876 -1.083 14.433 S
1.963 1.133 10.760 S
0.000 0.000 17.453 S
1.876 -1.083 14.433 S
0.000 2.167 14.433 S
```

Properties
Formation energy (no corrections) = -1.7808 eV/atom

=====

Entry 6:
A plane-wave DFT calculation with PBE was carried out for a geometry-optimized Na2H7Rh2 structure.

```
Na2H7Rh2
1.0
2.919 -3.441 0.000
2.919 3.441 0.000
0.000 0.000 4.890
Na H Rh
2 7 2
Cartesian
1.405 0.000 0.000 Na
4.434 0.000 0.000 Na
0.000 0.000 2.445 H
1.460 1.720 1.424 H
1.460 1.720 3.466 H
1.460 -1.720 1.424 H
1.460 -1.720 3.466 H
2.919 0.000 1.785 H
2.919 0.000 3.104 H
2.919 1.650 2.445 Rh
2.919 -1.650 2.445 Rh
```

Properties
Raw total energy = -3.861 eV per atom

=====

Entry 7:
A plane-wave DFT calculation with PBE was carried out for a geometry-optimized SrAlBr structure.

```
SrAlBr
1.0
7.692 0.000 0.000
0.000 7.692 0.000
0.000 0.000 7.692
Sr Al Br
4 4 4
Cartesian
0.000 0.000 0.000 Sr
0.000 3.846 3.846 Sr
3.846 0.000 3.846 Sr
3.846 3.846 0.000 Sr
1.923 1.923 5.769 Al
1.923 5.769 1.923 Al
5.769 1.923 1.923 Al
5.769 5.769 5.769 Al
1.923 1.923 1.923 Br
1.923 5.769 5.769 Br
5.769 1.923 5.769 Br
5.769 5.769 1.923 Br
```

Properties
Formation energy (no corrections) = -0.1657 eV/atom

=====

Entry 8:
A plane-wave DFT calculation with PBE was carried out for a geometry-optimized Rb2IrAuN structure.

```
Rb2IrAuN
1.0
6.318 0.000 0.000
0.000 6.318 0.000
0.000 0.000 3.687
Rb Ir Au N
2 1 1 1
Cartesian
0.000 3.159 0.000 Rb
3.159 0.000 0.000 Rb
0.000 0.000 1.844 Ir
3.159 3.159 1.844 Au
0.000 0.000 0.000 N
```

Properties
Formation energy (no corrections) = 0.0171 eV/atom